Computed, not measured: crystalline MnSe3F at its relaxed geometry at the GGA+U level of DFT.

Output
Magnetization   4.2 μB per formula unit
E above lowest polymorph   0 meV per atom

Cell lengths 4.8728, 4.8728, 4.8728 Å; angles 90.00, 90.00, 90.00 degrees
Space group Pm-3m (No. 221)
Unique sites:
Mn  0.0000  0.0000  0.0000 x1
Se  0.0000  0.0000  0.5000 x3
F  0.5000  0.5000  0.5000 x1